# ScCo2O | Alexandria via LeMat-Bulk | GGA+U | optimized geometry
data_ScCo2O
_chemical_formula_sum 'Sc2 Co4 O2'
_space_group_name_H-M_alt 'P 1'
_space_group_IT_number 1
_space_group_name_Hall 'P 1'
_cell_length_a 6.682
_cell_length_b 6.682
_cell_length_c 6.682
_cell_angle_alpha 142.19
_cell_angle_beta 142.19
_cell_angle_gamma 54.55
loop_
_atom_site_label
_atom_site_type_symbol
_atom_site_fract_x
_atom_site_fract_y
_atom_site_fract_z
Sc1 Sc 0.000 0.000 0.000
Sc2 Sc 0.750 0.250 0.500
Co1 Co 0.314 0.625 0.189
Co2 Co 0.375 0.564 0.689
Co3 Co 0.436 0.125 0.811
Co4 Co 0.875 0.686 0.311
O1 O 0.250 0.750 0.500
O2 O 0.500 0.500 0.000
# **Density**: 5331 kg/m³
# **Total DFT energy (no corrections)**: -5.3217 eV/atom
# **Calculated volume**: 13.92 A^3/atom